A relaxed structure of Hg4HO. Source: the Alexandria database, functional PBE-GGA.

a b c (Å): 7.617 7.617 5.785
angles (deg): 83.30 83.30 120.74
Sites, in units of the cell vectors:
Hg (0.204, 0.305, 0.282)
Hg (0.998, 0.617, 0.207)
Hg (0.796, 0.695, 0.718)
Hg (0.695, 0.796, 0.218)
Hg (0.305, 0.204, 0.782)
Hg (0.002, 0.383, 0.793)
Hg (0.383, 0.002, 0.293)
Hg (0.617, 0.998, 0.707)
O (0.888, 0.112, 0.250)
O (0.112, 0.888, 0.750)
H (0.468, 0.532, 0.250)
H (0.532, 0.468, 0.750)

Properties
As for the total energy: -1.490 eV per atom.

=====

A relaxed structure of MgAgN2F. Source: the Alexandria database, functional PBE-GGA.

a b c (Å): 4.022 4.022 4.549
angles (deg): 90.00 90.00 90.00
Last column: magnetic moment on the atom in μB.
Sites, in units of the cell vectors:
N (0.000, 0.500, 0.000)  0.74
N (0.500, 0.000, 0.000)  0.74
F (0.000, 0.000, 0.500)  0.04
Mg (0.500, 0.500, 0.500)  -0.03
Ag (0.000, 0.000, 0.000)  0.20

Properties
The formation energy from raw total energies comes out at 0.838 eV per atom. The offset from the most stable computed form comes out at 1.58 eV/f.u.

=====

A relaxed structure of NaSn2Pb. Source: the Alexandria database, functional PBE-GGA.

a b c (Å): 8.790 8.790 6.977
angles (deg): 50.96 50.96 90.00
Sites, in units of the cell vectors:
Pb (0.000, 0.000, 0.000)
Pb (0.750, 0.250, 0.500)
Sn (0.375, 0.347, 0.750)
Sn (0.653, 0.125, 0.250)
Sn (0.097, 0.625, 0.250)
Sn (0.875, 0.903, 0.750)
Na (0.250, 0.750, 0.500)
Na (0.500, 0.500, 0.000)

Properties
For the formation enthalpy at 0 K, the calculation gives 36.1 meV/atom.

=====

A relaxed structure of La2InI. Source: the Alexandria database, functional PBE-GGA.

a b c (Å): 4.272 5.542 23.128
angles (deg): 90.00 90.00 90.00
Sites, in units of the cell vectors:
In (0.750, 0.250, 0.401)
In (0.250, 0.750, 0.099)
In (0.250, 0.750, 0.599)
In (0.750, 0.250, 0.901)
La (0.750, 0.750, 0.979)
La (0.750, 0.750, 0.479)
La (0.250, 0.250, 0.021)
La (0.250, 0.750, 0.845)
La (0.250, 0.250, 0.521)
La (0.750, 0.250, 0.655)
La (0.250, 0.750, 0.345)
La (0.750, 0.250, 0.155)
I (0.250, 0.250, 0.769)
I (0.750, 0.750, 0.731)
I (0.250, 0.250, 0.269)
I (0.750, 0.750, 0.231)

Properties
The formation energy from raw total energies comes out at -0.602 eV per atom. The offset from the most stable computed form comes out at 0.58 eV/f.u.

=====

A relaxed structure of Ce2AlCu. Source: the Alexandria database, functional PBE-GGA.

a b c (Å): 4.573 4.280 4.280
angles (deg): 90.00 90.00 90.00
Sites, in units of the cell vectors:
Ce (0.000, 0.000, 0.500)
Ce (0.000, 0.500, 0.000)
Al (0.500, 0.500, 0.500)
Cu (0.500, 0.000, 0.000)

Properties
For the formation enthalpy at 0 K, the calculation gives -160.1 meV/atom.

=====

A relaxed structure of Zn7PdAu12. Source: the Alexandria database, functional PBE-GGA.

a b c (Å): 7.530 7.530 7.530
angles (deg): 108.32 108.32 108.32
Sites, in units of the cell vectors:
Zn (0.221, 0.074, 0.394)
Zn (0.779, 0.926, 0.606)
Zn (0.926, 0.606, 0.779)
Zn (0.500, 0.500, 0.500)
Zn (0.394, 0.221, 0.074)
Zn (0.074, 0.394, 0.221)
Zn (0.606, 0.779, 0.926)
Au (0.077, 0.324, 0.857)
Au (0.923, 0.676, 0.143)
Au (0.143, 0.923, 0.676)
Au (0.857, 0.077, 0.324)
Au (0.632, 0.201, 0.523)
Au (0.368, 0.799, 0.477)
Au (0.799, 0.477, 0.368)
Au (0.201, 0.523, 0.632)
Au (0.523, 0.632, 0.201)
Au (0.477, 0.368, 0.799)
Au (0.324, 0.857, 0.077)
Au (0.676, 0.143, 0.923)
Pd (0.000, 0.000, 0.000)

Properties
For the formation enthalpy at 0 K, the calculation gives -156.1 meV/atom.

=====

A relaxed structure of BaTcAu2. Source: the Alexandria database, functional PBE-GGA.

a b c (Å): 4.657 4.657 6.326
angles (deg): 68.40 68.40 60.00
Last column: magnetic moment on the atom in μB.
Sites, in units of the cell vectors:
Au (0.056, 0.056, 0.833)  0.06
Au (0.444, 0.444, 0.667)  0.06
Tc (0.750, 0.750, 0.750)  1.64
Ba (0.250, 0.250, 0.250)  -0.04

Properties
The offset from the most stable computed form comes out at 0.00 eV/f.u. For the formation enthalpy at 0 K, the calculation gives 49.2 meV/atom.

=====

A relaxed structure of Cd4InGa2Hg. Source: the Alexandria database, functional PBE-GGA.

a b c (Å): 4.189 7.074 7.299
angles (deg): 70.31 90.00 90.00
Sites, in units of the cell vectors:
Cd (0.000, 0.774, 0.745)
Cd (0.000, 0.226, 0.255)
Cd (0.500, 0.222, 0.764)
Cd (0.500, 0.778, 0.236)
Hg (0.500, 0.500, 0.000)
Ga (0.500, 0.000, 0.500)
Ga (0.000, 0.000, 0.000)
In (0.000, 0.500, 0.500)

Properties
For the formation enthalpy at 0 K, the calculation gives 122.0 meV/atom.

=====

A relaxed structure of TbPmTm3Th. Source: the Alexandria database, functional PBE-GGA.

a b c (Å): 5.594 10.188 6.983
angles (deg): 89.57 90.00 105.93
Sites, in units of the cell vectors:
Tm (0.160, 0.319, 0.743)
Tm (0.779, 0.558, 0.754)
Tm (0.477, 0.954, 0.255)
Tm (0.840, 0.681, 0.257)
Tm (0.523, 0.046, 0.745)
Tm (0.221, 0.442, 0.246)
Pm (0.647, 0.293, 0.039)
Pm (0.353, 0.707, 0.961)
Tb (0.350, 0.700, 0.536)
Tb (0.650, 0.300, 0.464)
Th (0.055, 0.109, 0.268)
Th (0.945, 0.891, 0.732)

Properties
For the formation enthalpy at 0 K, the calculation gives 221.2 meV/atom.

=====

A relaxed structure of BeOsPb. Source: the Alexandria database, functional PBE-GGA.

a b c (Å): 5.308 5.307 3.193
angles (deg): 72.50 72.48 35.02
Sites, in units of the cell vectors:
Be (0.949, 0.949, 0.051)
Pb (0.673, 0.673, 0.327)
Os (0.378, 0.378, 0.622)

Properties
The offset from the most stable computed form comes out at 0.00 eV/f.u. For the formation enthalpy at 0 K, the calculation gives 376.0 meV/atom.

=====

A relaxed structure of AlSnWCl2. Source: the Alexandria database, functional PBE-GGA.

a b c (Å): 5.182 5.646 5.182
angles (deg): 90.00 90.00 90.00
Last column: magnetic moment on the atom in μB.
Sites, in units of the cell vectors:
Cl (0.000, 0.000, 0.500)  0.04
Cl (0.500, 0.000, 0.000)  0.03
Sn (0.000, 0.000, 0.000)  0.00
Al (0.000, 0.500, 0.000)  0.00
W (0.500, 0.500, 0.500)  3.42

Properties
The formation energy from raw total energies comes out at 1.165 eV per atom.

=====

A relaxed structure of Sm4SnTe5. Source: the Alexandria database, functional PBE-GGA.

a b c (Å): 4.469 4.469 18.486
angles (deg): 83.06 83.06 60.00
Sites, in units of the cell vectors:
Sm (0.299, 0.299, 0.102)
Sm (0.096, 0.096, 0.712)
Sm (0.904, 0.904, 0.288)
Sm (0.701, 0.701, 0.898)
Te (0.000, 0.000, 0.000)
Te (0.201, 0.201, 0.396)
Te (0.399, 0.399, 0.804)
Te (0.799, 0.799, 0.604)
Te (0.601, 0.601, 0.196)
Sn (0.500, 0.500, 0.500)

Properties
The formation energy from raw total energies comes out at -1.138 eV per atom.